[1]
Below is an optimized crystal structure of Ti4CuSe8, with properties calculated at the PBE-GGA level.

a = 10.460 Å, b = 10.460 Å, c = 10.460 Å
α = 90.00°, β = 90.00°, γ = 90.00°
Space group F-43m (No. 216)
Unique sites:
Ti: 0.120 0.120 0.120 x16
Cu: 0.000 0.000 0.500 x4
Se: 0.124 0.124 0.876 x16
Se: 0.131 0.131 0.369 x16

Calculated volume = 22.01 Å³ per atom
Energy relative to the elements, uncorrected = -1.013 eV per atom

---

[2]
Below is an optimized crystal structure of ScTcAu2, with properties calculated at the PBE-GGA level.

a = 6.562 Å, b = 6.562 Å, c = 6.562 Å
α = 90.00°, β = 90.00°, γ = 90.00°
Space group F-43m (No. 216)
Unique sites:
Sc: 0.000 0.000 0.000 x4
Tc: 0.250 0.250 0.750 x4
Au: 0.000 0.000 0.500 x4
Au: 0.250 0.250 0.250 x4

Energy relative to the lowest polymorph listed for this composition = 83 kJ/mol of formula units
Calculated volume = 17.66 Å³ per atom

---

[3]
Below is an optimized crystal structure of SbH5Os, with properties calculated at the PBE-GGA level.

a = 7.781 Å, b = 6.650 Å, c = 5.987 Å
α = 90.00°, β = 109.32°, γ = 90.00°
Space group C2/c (No. 15)
Unique sites:
Sb: 0.000 0.173 0.250 x4
H: 0.000 0.354 0.750 x4
H: 0.163 0.317 0.064 x8
H: 0.215 0.398 0.593 x8
Os: 0.000 0.500 0.000 x4

Final energy = -4.359 eV per atom
Calculated volume = 10.44 Å³ per atom

---

[4]
Below is an optimized crystal structure of TlTe2Br2, with properties calculated at the PBE-GGA level.

a = 4.245 Å, b = 4.245 Å, c = 19.225 Å
α = 90.00°, β = 90.00°, γ = 90.00°
Space group I4/mmm (No. 139)
Unique sites:
Tl: 0.000 0.000 0.000 x2
Te: 0.000 0.500 0.250 x4
Br: 0.000 0.000 0.410 x4

Energy relative to the lowest polymorph listed for this composition = 0 kJ/mol of formula units
Calculated volume = 34.65 Å³ per atom
Energy relative to the elements, uncorrected = -0.185 eV per atom

---

[5]
Below is an optimized crystal structure of SrBe4Ni, with properties calculated at the PBE-GGA level.

a = 6.721 Å, b = 6.721 Å, c = 6.721 Å
α = 90.00°, β = 90.00°, γ = 90.00°
Space group F-43m (No. 216)
Unique sites:
Sr: 0.000 0.000 0.000 x4
Be: 0.118 0.118 0.618 x16
Ni: 0.250 0.250 0.250 x4

Final energy = -3.447 eV per atom
Calculated volume = 12.65 Å³ per atom

---

[6]
Below is an optimized crystal structure of SmPa2S5, with properties calculated at the PBE-GGA level.

a = 7.363 Å, b = 7.363 Å, c = 12.740 Å
α = 90.00°, β = 90.00°, γ = 90.00°
Space group I4/mcm (No. 140)
Unique sites:
Sm: 0.000 0.000 0.250 x4
Pa: 0.153 0.347 0.000 x8
S: 0.000 0.000 0.000 x4
S: 0.157 0.343 0.355 x16

Energy relative to the lowest polymorph listed for this composition = 44 kJ/mol of formula units
Calculated volume = 21.59 Å³ per atom
Energy relative to the elements, uncorrected = -1.679 eV per atom

---

[7]
Below is an optimized crystal structure of CaMo2Cl, with properties calculated at the PBE-GGA level.

a = 3.643 Å, b = 3.643 Å, c = 13.619 Å
α = 90.00°, β = 90.00°, γ = 90.00°
Space group I4/mmm (No. 139)
Unique sites:
Ca: 0.000 0.000 0.000 x2
Mo: 0.000 0.500 0.250 x4
Cl: 0.000 0.000 0.500 x2

Energy relative to the lowest polymorph listed for this composition = 150 kJ/mol of formula units
Calculated volume = 22.59 Å³ per atom
Energy relative to the elements, uncorrected = 0.246 eV per atom

---

[8]
Below is an optimized crystal structure of Tm4Zn3Cd, with properties calculated at the PBE-GGA level.

a = 5.020 Å, b = 5.020 Å, c = 7.210 Å
α = 90.00°, β = 90.00°, γ = 90.00°
Space group P4/mmm (No. 123)
Unique sites:
Tm: 0.000 0.500 0.241 x4
Zn: 0.000 0.000 0.000 x1
Zn: 0.000 0.000 0.500 x1
Zn: 0.500 0.500 0.000 x1
Cd: 0.500 0.500 0.500 x1

Final energy = -3.159 eV per atom
Calculated volume = 22.71 Å³ per atom

---

Look up the calculated volume of the fifth one. 12.65 Å³ per atom

---

Look up the calculated volume of the fifth one. 12.65 Å³ per atom

---

calculated volume of number 4 (TlTe2Br2)? 34.65 Å³ per atom

---

Which value of calculated volume does entry 5 give? 12.65 Å³ per atom